The following is a DFT calculation (PBE-GGA) of an optimized crystal structure of GaCo2B.

The structure in extended XYZ format:
```
4
Lattice="1.7867 1.0315 3.7530 -1.7867 1.0315 3.7530 0.0000 -2.0631 3.7530" Properties=species:S:1:pos:R:3 pbc="T T T"
Ga 0.0000 0.0000 0.0000
Co 0.0000 0.0000 2.5350
Co 0.0000 0.0000 8.7240
B 0.0000 0.0000 5.6295
```

Calculated values
* energy above the most stable polymorph in this dataset: 221.9 meV per atom
* total moment: 0.00 μB/cell
* space-group type: R-3m, No. 166